Here is crystalline TlTe2H at its relaxed geometry from the Alexandria database. Energies are from GGA-PBE.

CIF file:
```
data_TlTe2H
_chemical_formula_sum 'Tl4 Te8 H4'
_space_group_name_H-M_alt 'F m -3 m'
_space_group_IT_number 225
_space_group_name_Hall '-F 4 2 3'
_cell_length_a 7.3278
_cell_length_b 7.3278
_cell_length_c 7.3278
_cell_angle_alpha 90.00
_cell_angle_beta 90.00
_cell_angle_gamma 90.00
loop_
_atom_site_label
_atom_site_fract_x
_atom_site_fract_y
_atom_site_fract_z
Tl1 0.0000 0.0000 0.0000
Te1 0.2500 0.2500 0.2500
H1 0.0000 0.0000 0.5000
```

***

# GGA-PBE Pm2AlCuO6, relaxed
# - ΔE_f (raw): -2568 meV per atom
data_Pm2AlCuO6
_chemical_formula_sum 'Pm4 Al2 Cu2 O12'
_space_group_name_H-M_alt 'P 1 21/c 1'
_space_group_IT_number 14
_cell_length_a 5.2313
_cell_length_b 5.2856
_cell_length_c 9.8021
_cell_angle_alpha 90.00
_cell_angle_beta 120.33
_cell_angle_gamma 90.00
loop_
_space_group_symop_operation_xyz
'x,y,z'
'-x,-y,-z'
'-x,y+1/2,-z+1/2'
'x,-y+1/2,z+1/2'
loop_
_atom_site_label
_atom_site_fract_x
_atom_site_fract_y
_atom_site_fract_z
Pm1 0.2257 0.0403 0.2447
Al1 0.5000 0.0000 0.0000
Cu1 0.0000 0.0000 0.5000
O1 0.1629 0.2231 0.9493
O2 0.2145 0.7166 0.9396
O3 0.3750 0.0185 0.7872

***

# GGA-PBE NaTl2AgCl4, relaxed
# - ΔE_f (raw): -1043 meV per atom
data_NaTl2AgCl4
_chemical_formula_sum 'Na1 Tl2 Ag1 Cl4'
_space_group_name_H-M_alt 'P 1 2/m 1'
_space_group_IT_number 10
_cell_length_a 7.3038
_cell_length_b 4.2228
_cell_length_c 7.5925
_cell_angle_alpha 90.00
_cell_angle_beta 108.97
_cell_angle_gamma 90.00
loop_
_space_group_symop_operation_xyz
'x,y,z'
'-x,-y,-z'
'-x,y,-z'
'x,-y,z'
loop_
_atom_site_label
_atom_site_fract_x
_atom_site_fract_y
_atom_site_fract_z
Na1 0.0000 0.0000 0.0000
Tl1 0.0000 0.5000 0.5000
Tl2 0.5000 0.0000 0.5000
Ag1 0.5000 0.5000 0.0000
Cl1 0.2374 0.5000 0.2113
Cl2 0.2674 0.0000 0.7921

***

# GGA-PBE Rb2FeAsI6, relaxed
# - ΔE_f (raw): -557 meV per atom
data_Rb2FeAsI6
_chemical_formula_sum 'Rb4 Fe2 As2 I12'
_space_group_name_H-M_alt 'I 4/m m m'
_space_group_IT_number 139
_space_group_name_Hall '-I 4 2'
_cell_length_a 8.2295
_cell_length_b 8.2295
_cell_length_c 11.5896
_cell_angle_alpha 90.00
_cell_angle_beta 90.00
_cell_angle_gamma 90.00
loop_
_atom_site_label
_atom_site_fract_x
_atom_site_fract_y
_atom_site_fract_z
Rb1 0.0000 0.5000 0.2500
Fe1 0.0000 0.0000 0.0000
As1 0.0000 0.0000 0.5000
I1 0.0000 0.0000 0.2444
I2 0.2448 0.2448 0.0000

***

# GGA-PBE Pm2B2Rh3, relaxed
# - ΔE_f: -0.470 eV per atom
data_Pm2B2Rh3
_chemical_formula_sum 'Pm4 B4 Rh6'
_space_group_name_H-M_alt 'C 1 2/m 1'
_space_group_IT_number 12
_cell_length_a 10.0291
_cell_length_b 3.5625
_cell_length_c 6.8747
_cell_angle_alpha 90.00
_cell_angle_beta 113.00
_cell_angle_gamma 90.00
loop_
_space_group_symop_operation_xyz
'x,y,z'
'-x,-y,-z'
'-x,y,-z'
'x,-y,z'
'x+1/2,y+1/2,z'
'-x+1/2,-y+1/2,-z'
'-x+1/2,y+1/2,-z'
'x+1/2,-y+1/2,z'
loop_
_atom_site_label
_atom_site_fract_x
_atom_site_fract_y
_atom_site_fract_z
Pm1 0.1305 0.0000 0.2812
B1 0.1530 0.0000 0.7700
Rh1 0.0000 0.5000 0.5000
Rh2 0.1360 0.5000 0.9333

***

# GGA-PBE LaSi2SnMo, relaxed
# - ΔE_f (raw): 1462 meV per atom
data_LaSi2SnMo
_chemical_formula_sum 'La1 Si2 Sn1 Mo1'
_space_group_name_H-M_alt 'P 4/m m m'
_space_group_IT_number 123
_space_group_name_Hall '-P 4 2'
_cell_length_a 5.0745
_cell_length_b 5.0745
_cell_length_c 5.9262
_cell_angle_alpha 90.00
_cell_angle_beta 90.00
_cell_angle_gamma 90.00
loop_
_atom_site_label
_atom_site_fract_x
_atom_site_fract_y
_atom_site_fract_z
La1 0.0000 0.0000 0.0000
Si1 0.0000 0.5000 0.5000
Sn1 0.0000 0.0000 0.5000
Mo1 0.5000 0.5000 0.0000

***

# GGA-PBE NaCu3S, relaxed
# - ΔE_f (raw): 1324 meV per atom
data_NaCu3S
_chemical_formula_sum 'Na1 Cu3 S1'
_space_group_name_H-M_alt 'P m -3 m'
_space_group_IT_number 221
_space_group_name_Hall '-P 4 2 3'
_cell_length_a 4.5706
_cell_length_b 4.5706
_cell_length_c 4.5706
_cell_angle_alpha 90.00
_cell_angle_beta 90.00
_cell_angle_gamma 90.00
loop_
_atom_site_label
_atom_site_fract_x
_atom_site_fract_y
_atom_site_fract_z
Na1 0.0000 0.0000 0.0000
Cu1 0.0000 0.0000 0.5000
S1 0.5000 0.5000 0.5000

***

# GGA-PBE Th4Tc2Hg5, relaxed
# - ΔE_f: -0.211 eV per atom
data_Th4Tc2Hg5
_chemical_formula_sum 'Th4 Tc2 Hg5'
_space_group_name_H-M_alt 'P 1 2/m 1'
_space_group_IT_number 10
_cell_length_a 7.9391
_cell_length_b 3.7613
_cell_length_c 9.6583
_cell_angle_alpha 90.00
_cell_angle_beta 95.08
_cell_angle_gamma 90.00
loop_
_space_group_symop_operation_xyz
'x,y,z'
'-x,-y,-z'
'-x,y,-z'
'x,-y,z'
loop_
_atom_site_label
_atom_site_fract_x
_atom_site_fract_y
_atom_site_fract_z
Th1 0.1866 0.0000 0.3428
Th2 0.2111 0.0000 0.9401
Tc1 0.0862 0.5000 0.1450
Hg1 0.1642 0.5000 0.6397
Hg2 0.4657 0.5000 0.1681
Hg3 0.5000 0.5000 0.5000

***

# GGA-PBE CuSiAu2C, relaxed
# - ΔE_f (raw): 933 meV per atom
data_CuSiAu2C
_chemical_formula_sum 'Cu1 Si1 Au2 C1'
_space_group_name_H-M_alt 'P 4/m m m'
_space_group_IT_number 123
_space_group_name_Hall '-P 4 2'
_cell_length_a 4.8827
_cell_length_b 4.8827
_cell_length_c 3.5171
_cell_angle_alpha 90.00
_cell_angle_beta 90.00
_cell_angle_gamma 90.00
loop_
_atom_site_label
_atom_site_fract_x
_atom_site_fract_y
_atom_site_fract_z
Cu1 0.0000 0.0000 0.0000
Si1 0.5000 0.5000 0.5000
Au1 0.0000 0.5000 0.5000
C1 0.5000 0.5000 0.0000

***

# GGA-PBE Co2AgN, relaxed
# - ΔE_f (raw): 314 meV per atom
data_Co2AgN
_chemical_formula_sum 'Co6 Ag3 N3'
_space_group_name_H-M_alt 'R -3 m'
_space_group_IT_number 166
_space_group_name_Hall '-R 3 2"'
_cell_length_a 2.8498
_cell_length_b 2.8498
_cell_length_c 21.3526
_cell_angle_alpha 90.00
_cell_angle_beta 90.00
_cell_angle_gamma 120.00
loop_
_atom_site_label
_atom_site_fract_x
_atom_site_fract_y
_atom_site_fract_z
Co1 0.0000 0.0000 0.1226
Ag1 0.0000 0.0000 0.0000
N1 0.0000 0.0000 0.5000

***

# GGA-PBE ErTh2Fe2, relaxed
# - ΔE_f: 0.030 eV per atom
data_ErTh2Fe2
_chemical_formula_sum 'Er2 Th4 Fe4'
_space_group_name_H-M_alt 'C 1 2/m 1'
_space_group_IT_number 12
_cell_length_a 11.3995
_cell_length_b 3.9573
_cell_length_c 5.3748
_cell_angle_alpha 90.00
_cell_angle_beta 107.78
_cell_angle_gamma 90.00
loop_
_space_group_symop_operation_xyz
'x,y,z'
'-x,-y,-z'
'-x,y,-z'
'x,-y,z'
'x+1/2,y+1/2,z'
'-x+1/2,-y+1/2,-z'
'-x+1/2,y+1/2,-z'
'x+1/2,-y+1/2,z'
loop_
_atom_site_label
_atom_site_fract_x
_atom_site_fract_y
_atom_site_fract_z
Er1 0.0000 0.0000 0.0000
Th1 0.1589 0.5000 0.6265
Fe1 0.2022 0.5000 0.1380

***

# GGA-PBE PmNdBi2, relaxed
# - ΔE_f: -0.834 eV per atom
data_PmNdBi2
_chemical_formula_sum 'Pm3 Nd3 Bi6'
_space_group_name_H-M_alt 'R 3 m'
_space_group_IT_number 160
_space_group_name_Hall 'R 3 -2"'
_cell_length_a 4.5560
_cell_length_b 4.5560
_cell_length_c 23.4458
_cell_angle_alpha 90.00
_cell_angle_beta 90.00
_cell_angle_gamma 120.00
loop_
_atom_site_label
_atom_site_fract_x
_atom_site_fract_y
_atom_site_fract_z
Pm1 0.0000 0.0000 0.0000
Nd1 0.0000 0.0000 0.8288
Bi1 0.0000 0.0000 0.2471
Bi2 0.0000 0.0000 0.4152

***

What VASP energy values result from the calculations? In sequence: -2.360, -7.277, -3.079, -2.992, -6.886, -4.659, -2.223, -4.931, -4.126, -6.034, -7.235, -5.155 eV/atom.